[1]
# Ca3DyH8 GGA-PBE optimized geometry
# Total moment, Bohr magnetons per cell: 0.0
# N(E_F), states/eV per atom: 0.072
# Space group: No. 221
# Calculated total energy, eV/f.u.: -44.426
data_Ca3DyH8
_symmetry_space_group_name_H-M 'P 1'
_symmetry_Int_Tables_number 1
_cell_length_a 5.328
_cell_length_b 5.328
_cell_length_c 5.328
_cell_angle_alpha 90.00
_cell_angle_beta 90.00
_cell_angle_gamma 90.00
loop_
_symmetry_equiv_pos_as_xyz
'x,y,z'
loop_
_atom_site_label
_atom_site_fract_x
_atom_site_fract_y
_atom_site_fract_z
Ca1 0.500 0.500 0.000
Ca2 0.500 0.000 0.500
Ca3 0.000 0.500 0.500
Dy1 0.000 0.000 0.000
H1 0.244 0.244 0.756
H2 0.244 0.756 0.244
H3 0.756 0.244 0.244
H4 0.756 0.756 0.756
H5 0.756 0.756 0.244
H6 0.756 0.244 0.756
H7 0.244 0.756 0.756
H8 0.244 0.244 0.244

=====

[2]
# CoNiIrRh GGA-PBE optimized geometry
# Calculated formation energy, eV/atom: 0.19
# Total moment, Bohr magnetons per cell: 2.0
# N(E_F), states/eV per atom: 2.417
# Space group: No. 216
# Calculated total energy, eV/f.u.: -28.357
data_CoNiIrRh
_symmetry_space_group_name_H-M 'P 1'
_symmetry_Int_Tables_number 1
_cell_length_a 4.174
_cell_length_b 4.174
_cell_length_c 4.174
_cell_angle_alpha 60.00
_cell_angle_beta 60.00
_cell_angle_gamma 60.00
loop_
_symmetry_equiv_pos_as_xyz
'x,y,z'
loop_
_atom_site_label
_atom_site_fract_x
_atom_site_fract_y
_atom_site_fract_z
Ni1 0.000 0.000 0.000
Ir1 0.250 0.250 0.250
Rh1 0.750 0.750 0.750
Co1 0.500 0.500 0.500

=====

[3]
# POs2F2 GGA-PBE optimized geometry
# Total moment, Bohr magnetons per cell: 0.0
# N(E_F), states/eV per atom: 0.664
# Space group: No. 139
# Calculated total energy, eV/f.u.: -31.953
data_POs2F2
_symmetry_space_group_name_H-M 'P 1'
_symmetry_Int_Tables_number 1
_cell_length_a 3.317
_cell_length_b 3.317
_cell_length_c 6.169
_cell_angle_alpha 74.41
_cell_angle_beta 74.41
_cell_angle_gamma 90.00
loop_
_symmetry_equiv_pos_as_xyz
'x,y,z'
loop_
_atom_site_label
_atom_site_fract_x
_atom_site_fract_y
_atom_site_fract_z
P1 0.000 0.000 0.000
Os1 0.401 0.401 0.199
Os2 0.599 0.599 0.801
F1 0.750 0.250 0.500
F2 0.250 0.750 0.500

=====

[4]
# CeV2Ga GGA-PBE optimized geometry
# Calculated formation energy, eV/atom: 0.08
# Total moment, Bohr magnetons per cell: 0.0
# N(E_F), states/eV per atom: 1.878
# Space group: No. 225
# Calculated total energy, eV/f.u.: -26.872
data_CeV2Ga
_symmetry_space_group_name_H-M 'P 1'
_symmetry_Int_Tables_number 1
_cell_length_a 4.499
_cell_length_b 4.499
_cell_length_c 4.500
_cell_angle_alpha 60.01
_cell_angle_beta 60.01
_cell_angle_gamma 60.00
loop_
_symmetry_equiv_pos_as_xyz
'x,y,z'
loop_
_atom_site_label
_atom_site_fract_x
_atom_site_fract_y
_atom_site_fract_z
Ga1 0.000 0.000 0.000
Ce1 0.500 0.500 0.500
V1 0.250 0.250 0.251
V2 0.750 0.750 0.749

=====

[5]
# La2AlTlC GGA-PBE optimized geometry
# Calculated formation energy, eV/atom: -0.27
# Total moment, Bohr magnetons per cell: 0.0
# N(E_F), states/eV per atom: 0.492
# Space group: No. 123
# Calculated total energy, eV/f.u.: -26.534
data_La2AlTlC
_symmetry_space_group_name_H-M 'P 1'
_symmetry_Int_Tables_number 1
_cell_length_a 5.466
_cell_length_b 5.466
_cell_length_c 4.028
_cell_angle_alpha 90.00
_cell_angle_beta 90.00
_cell_angle_gamma 90.00
loop_
_symmetry_equiv_pos_as_xyz
'x,y,z'
loop_
_atom_site_label
_atom_site_fract_x
_atom_site_fract_y
_atom_site_fract_z
C1 0.000 0.000 0.000
Tl1 0.500 0.500 0.500
Al1 0.000 0.000 0.500
La1 0.000 0.500 0.000
La2 0.500 0.000 0.000

=====

[6]
# BaCl2F GGA-PBE optimized geometry
# Total moment, Bohr magnetons per cell: 0.0
# N(E_F), states/eV per atom: 0.712
# Space group: No. 122
# Calculated total energy, eV/f.u.: -15.452
data_BaCl2F
_symmetry_space_group_name_H-M 'P 1'
_symmetry_Int_Tables_number 1
_cell_length_a 4.101
_cell_length_b 4.101
_cell_length_c 11.802
_cell_angle_alpha 79.99
_cell_angle_beta 79.99
_cell_angle_gamma 90.00
loop_
_symmetry_equiv_pos_as_xyz
'x,y,z'
loop_
_atom_site_label
_atom_site_fract_x
_atom_site_fract_y
_atom_site_fract_z
F1 0.500 0.500 0.000
F2 0.250 0.750 0.500
Ba1 0.000 0.000 0.000
Ba2 0.750 0.250 0.500
Cl1 0.625 0.125 0.250
Cl2 0.125 0.625 0.250
Cl3 0.375 0.375 0.750
Cl4 0.875 0.875 0.750

=====

[7]
# Na5LiP2O8 GGA-PBE optimized geometry
# Total moment, Bohr magnetons per cell: 0.0
# N(E_F), states/eV per atom: 0.000
# Space group: No. 62
# Calculated total energy, eV/f.u.: -94.470
data_Na5LiP2O8
_symmetry_space_group_name_H-M 'P 1'
_symmetry_Int_Tables_number 1
_cell_length_a 10.274
_cell_length_b 10.279
_cell_length_c 14.887
_cell_angle_alpha 90.00
_cell_angle_beta 90.00
_cell_angle_gamma 90.00
loop_
_symmetry_equiv_pos_as_xyz
'x,y,z'
loop_
_atom_site_label
_atom_site_fract_x
_atom_site_fract_y
_atom_site_fract_z
Na1 0.724 0.506 0.998
Na2 0.724 0.506 0.502
Na3 0.245 0.755 0.395
Na4 0.224 0.994 0.498
Na5 0.776 0.006 0.998
Na6 0.726 0.755 0.137
Na7 0.984 0.510 0.114
Na8 0.984 0.510 0.386
Na9 0.276 0.494 0.002
Na10 0.274 0.245 0.863
Na11 0.065 0.268 0.250
Na12 0.516 0.010 0.386
Na13 0.018 0.785 0.250
Na14 0.565 0.232 0.750
Na15 0.274 0.245 0.637
Na16 0.935 0.732 0.750
Na17 0.226 0.745 0.863
Na18 0.774 0.255 0.363
Na19 0.484 0.990 0.886
Na20 0.016 0.490 0.614
Na21 0.482 0.285 0.250
Na22 0.435 0.768 0.250
Na23 0.755 0.245 0.605
Na24 0.755 0.245 0.895
Na25 0.518 0.715 0.750
Na26 0.255 0.255 0.395
Na27 0.774 0.255 0.137
Na28 0.982 0.215 0.750
Na29 0.224 0.994 0.002
Na30 0.776 0.006 0.502
Na31 0.516 0.010 0.114
Na32 0.745 0.745 0.605
Na33 0.745 0.745 0.895
Na34 0.255 0.255 0.105
Na35 0.016 0.490 0.886
Na36 0.276 0.494 0.498
Na37 0.226 0.745 0.637
Na38 0.726 0.755 0.363
Na39 0.484 0.990 0.614
Na40 0.245 0.755 0.105
Li1 0.996 0.010 0.360
Li2 0.996 0.010 0.140
Li3 0.504 0.510 0.360
Li4 0.496 0.490 0.860
Li5 0.504 0.510 0.140
Li6 0.496 0.490 0.640
Li7 0.004 0.990 0.860
Li8 0.004 0.990 0.640
P1 0.748 0.981 0.750
P2 0.248 0.519 0.250
P3 0.504 0.252 0.501
P4 0.496 0.748 0.499
P5 0.496 0.748 0.001
P6 0.275 0.996 0.750
P7 0.752 0.481 0.750
P8 0.504 0.252 0.999
P9 0.004 0.248 0.001
P10 0.996 0.752 0.501
P11 0.725 0.004 0.250
P12 0.996 0.752 0.999
P13 0.225 0.496 0.750
P14 0.004 0.248 0.499
P15 0.252 0.019 0.250
P16 0.775 0.504 0.250
O1 0.871 0.682 0.469
O2 0.393 0.148 0.511
O3 0.124 0.610 0.750
O4 0.607 0.852 0.011
O5 0.531 0.317 0.906
O6 0.043 0.856 0.432
O7 0.190 0.006 0.837
O8 0.543 0.644 0.568
O9 0.893 0.352 0.011
O10 0.783 0.331 0.750
O11 0.189 0.456 0.336
O12 0.957 0.144 0.568
O13 0.400 0.501 0.250
O14 0.351 0.864 0.750
O15 0.876 0.390 0.250
O16 0.393 0.148 0.989
O17 0.649 0.136 0.250
O18 0.190 0.006 0.663
O19 0.310 0.506 0.663
O20 0.371 0.818 0.969
O21 0.607 0.852 0.489
O22 0.969 0.817 0.906
O23 0.107 0.648 0.989
O24 0.457 0.356 0.068
O25 0.311 0.956 0.336
O26 0.629 0.182 0.469
O27 0.690 0.494 0.337
O28 0.543 0.644 0.932
O29 0.129 0.318 0.531
O30 0.690 0.494 0.163
O31 0.811 0.544 0.664
O32 0.689 0.044 0.836
O33 0.469 0.683 0.094
O34 0.600 0.499 0.750
O35 0.969 0.817 0.594
O36 0.457 0.356 0.432
O37 0.310 0.506 0.837
O38 0.469 0.683 0.406
O39 0.283 0.169 0.250
O40 0.371 0.818 0.531
O41 0.871 0.682 0.031
O42 0.107 0.648 0.511
O43 0.957 0.144 0.932
O44 0.851 0.636 0.250
O45 0.531 0.317 0.594
O46 0.629 0.182 0.031
O47 0.100 0.001 0.250
O48 0.376 0.110 0.750
O49 0.717 0.831 0.750
O50 0.189 0.456 0.164
O51 0.149 0.364 0.750
O52 0.811 0.544 0.836
O53 0.810 0.994 0.163
O54 0.689 0.044 0.664
O55 0.624 0.890 0.250
O56 0.031 0.183 0.094
O57 0.893 0.352 0.489
O58 0.031 0.183 0.406
O59 0.810 0.994 0.337
O60 0.129 0.318 0.969
O61 0.217 0.669 0.250
O62 0.311 0.956 0.164
O63 0.900 0.999 0.750
O64 0.043 0.856 0.068

=====

[8]
# BaAgIr2 GGA-PBE optimized geometry
# Calculated formation energy, eV/atom: 0.29
# Total moment, Bohr magnetons per cell: 0.0
# N(E_F), states/eV per atom: 0.751
# Space group: No. 25
# Calculated total energy, eV/f.u.: -21.317
data_BaAgIr2
_symmetry_space_group_name_H-M 'P 1'
_symmetry_Int_Tables_number 1
_cell_length_a 3.835
_cell_length_b 2.997
_cell_length_c 8.188
_cell_angle_alpha 68.55
_cell_angle_beta 90.00
_cell_angle_gamma 90.00
loop_
_symmetry_equiv_pos_as_xyz
'x,y,z'
loop_
_atom_site_label
_atom_site_fract_x
_atom_site_fract_y
_atom_site_fract_z
Ir1 0.000 0.918 0.082
Ir2 0.500 0.296 0.204
Ba1 0.500 0.730 0.770
Ag1 0.000 0.556 0.443

=====

[9]
# LaMnBe2 GGA-PBE optimized geometry
# Calculated formation energy, eV/atom: 0.70
# Total moment, Bohr magnetons per cell: 2.0
# N(E_F), states/eV per atom: 0.615
# Space group: No. 47
# Calculated total energy, eV/f.u.: -18.738
data_LaMnBe2
_symmetry_space_group_name_H-M 'P 1'
_symmetry_Int_Tables_number 1
_cell_length_a 3.306
_cell_length_b 4.229
_cell_length_c 4.684
_cell_angle_alpha 90.00
_cell_angle_beta 90.00
_cell_angle_gamma 90.00
loop_
_symmetry_equiv_pos_as_xyz
'x,y,z'
loop_
_atom_site_label
_atom_site_fract_x
_atom_site_fract_y
_atom_site_fract_z
Be1 0.000 0.000 0.000
Be2 0.500 0.500 0.000
Mn1 0.000 0.500 0.500
La1 0.500 0.000 0.500

=====

[10]
# UPaP GGA-PBE optimized geometry
# Calculated formation energy, eV/atom: -0.16
# Total moment, Bohr magnetons per cell: 0.0
# N(E_F), states/eV per atom: 1.707
# Space group: No. 156
# Calculated total energy, eV/f.u.: -26.664
data_UPaP
_symmetry_space_group_name_H-M 'P 1'
_symmetry_Int_Tables_number 1
_cell_length_a 3.224
_cell_length_b 4.671
_cell_length_c 4.671
_cell_angle_alpha 120.00
_cell_angle_beta 90.00
_cell_angle_gamma 90.00
loop_
_symmetry_equiv_pos_as_xyz
'x,y,z'
loop_
_atom_site_label
_atom_site_fract_x
_atom_site_fract_y
_atom_site_fract_z
P1 0.192 0.333 0.667
Pa1 0.678 0.667 0.333
U1 0.130 0.000 0.000

=====

[11]
# LiCo2Cu GGA-PBE optimized geometry
# Calculated formation energy, eV/atom: 0.12
# Total moment, Bohr magnetons per cell: 3.0
# N(E_F), states/eV per atom: 0.703
# Space group: No. 8
# Calculated total energy, eV/f.u.: -19.745
data_LiCo2Cu
_symmetry_space_group_name_H-M 'P 1'
_symmetry_Int_Tables_number 1
_cell_length_a 4.315
_cell_length_b 4.315
_cell_length_c 4.549
_cell_angle_alpha 83.13
_cell_angle_beta 83.13
_cell_angle_gamma 32.98
loop_
_symmetry_equiv_pos_as_xyz
'x,y,z'
loop_
_atom_site_label
_atom_site_fract_x
_atom_site_fract_y
_atom_site_fract_z
Co1 0.007 0.007 0.971
Co2 0.751 0.751 0.778
Cu1 0.494 0.494 0.484
Li1 0.248 0.248 0.266

=====

[12]
# ZnTcS2Cl GGA-PBE optimized geometry
# Total moment, Bohr magnetons per cell: 0.0
# N(E_F), states/eV per atom: 0.981
# Space group: No. 123
# Calculated total energy, eV/f.u.: -21.229
data_ZnTcS2Cl
_symmetry_space_group_name_H-M 'P 1'
_symmetry_Int_Tables_number 1
_cell_length_a 4.575
_cell_length_b 4.575
_cell_length_c 5.038
_cell_angle_alpha 90.00
_cell_angle_beta 90.00
_cell_angle_gamma 90.00
loop_
_symmetry_equiv_pos_as_xyz
'x,y,z'
loop_
_atom_site_label
_atom_site_fract_x
_atom_site_fract_y
_atom_site_fract_z
S1 0.000 0.500 0.000
S2 0.500 0.000 0.000
Zn1 0.500 0.500 0.500
Tc1 0.000 0.000 0.000
Cl1 0.000 0.000 0.500